Computed, not measured: Tb7SBr12 after structural relaxation at the GGA-PBE level of DFT.

For the mass density, the calculation gives 5.75 g/cm³. The calculation puts the volume at 30.382 Å³ per atom. As for the final energy: -4.546 eV per atom. The formation energy from raw total energies comes out at -1.72 eV per atom.

The structure belongs to space group R-3 (No. 148, hexagonal axes); the cell edges are 14.6834, 14.6834 and 9.7629 Å and the angles 90.00°, 90.00° and 120.00°. Symmetry generates all atoms from Tb at (0.0000, 0.0000, 0.0000), Tb at (0.0444, 0.1613, 0.3463), S at (0.0000, 0.0000, 0.5000), Br at (0.0244, 0.5864, 0.1625) and Br at (0.0510, 0.1840, 0.8396).

=====

Computed, not measured: Cs4Pb3Cl10 after structural relaxation at the GGA-PBE level of DFT.

For the mass density, the calculation gives 3.78 g/cm³. The calculation puts the volume at 38.922 Å³ per atom. As for the final energy: -3.520 eV per atom. The formation energy from raw total energies comes out at -1.58 eV per atom.

The structure belongs to space group I4/mmm (No. 139); the cell edges are 5.733, 5.733 and 40.265 Å and the angles 90.00°, 90.00° and 90.00°. Symmetry generates all atoms from Cs at (0.000, 0.000, 0.069), Cs at (0.000, 0.000, 0.201), Pb at (0.000, 0.000, 0.356), Pb at (0.000, 0.000, 0.500), Cl at (0.000, 0.000, 0.286), Cl at (0.000, 0.000, 0.429), Cl at (0.000, 0.500, 0.000) and Cl at (0.000, 0.500, 0.142).

=====

Computed, not measured: Tm6FePb3 after structural relaxation at the GGA-PBE level of DFT.

For the mass density, the calculation gives 9.30 g/cm³. The calculation puts the volume at 30.197 Å³ per atom. The formation energy comes out at -0.03 eV per atom. As for the final energy: -4.674 eV per atom.

The structure belongs to space group Cmc2_1 (No. 36); the cell edges are 11.652, 14.312 and 7.243 Å and the angles 90.00°, 90.00° and 90.00°. Symmetry generates all atoms from Tm at (0.000, 0.013, 0.000), Tm at (0.000, 0.237, 0.459), Tm at (0.146, 0.239, 0.905), Tm at (0.159, 0.468, 0.451), Fe at (0.000, 0.130, 0.739), Pb at (0.000, 0.384, 0.138) and Pb at (0.185, 0.112, 0.255).

=====

Computed, not measured: Ac12Ir3Pb5 after structural relaxation at the GGA-PBE level of DFT.

For the mass density, the calculation gives 8.61 g/cm³. The calculation puts the volume at 41.837 Å³ per atom. The formation energy comes out at 0.02 eV per atom. As for the final energy: -4.704 eV per atom.

The structure belongs to space group Ia-3d (No. 230); the cell edges are 18.846, 18.846 and 18.846 Å and the angles 90.00°, 90.00° and 90.00°. Symmetry generates all atoms from Ac at (0.020, 0.089, 0.648), Ir at (0.000, 0.250, 0.125), Pb at (0.000, 0.000, 0.000) and Pb at (0.000, 0.250, 0.375).